This record from the Alexandria database describes an optimized crystal structure of LiGdW2O8. The functional is GGA+U.

* distance to the lowest polymorph of the same formula: 0.0000 eV/atom
* total magnetic moment: 6.9 μB per formula unit
* theoretical density: 7.012 g/cm3
* energy: -8.238 eV/atom

Lattice parameters (Å, degrees): 5.0884 6.0637 11.1229 90.00 114.40 90.00
Sites, in units of the cell vectors:
Li1 0.0000 0.2469 0.2500
Li2 0.0000 0.7531 0.7500
Gd1 0.5000 0.3337 0.7500
Gd2 0.5000 0.6663 0.2500
W1 0.2641 0.1681 0.0128
W2 0.2641 0.8319 0.5128
W3 0.7359 0.1681 0.4872
W4 0.7359 0.8319 0.9872
O1 0.1554 0.1095 0.5966
O2 0.1554 0.8905 0.0966
O3 0.2315 0.3546 0.1353
O4 0.2315 0.6454 0.6353
O5 0.2797 0.3643 0.8911
O6 0.2797 0.6357 0.3911
O7 0.3409 0.0878 0.3913
O8 0.3409 0.9122 0.8913
O9 0.6591 0.0878 0.1087
O10 0.6591 0.9122 0.6087
O11 0.7203 0.3643 0.6089
O12 0.7203 0.6357 0.1089
O13 0.7685 0.3546 0.3647
O14 0.7685 0.6454 0.8647
O15 0.8446 0.1095 0.9034
O16 0.8446 0.8905 0.4034